! PBE-GGA NbTlI2, optimized geometry; values from VASP
&SYSTEM
  ibrav = 0, nat = 4, ntyp = 3
/
ATOMIC_SPECIES
I 126.90 I.upf
Tl 204.38 Tl.upf
Nb 92.91 Nb.upf
CELL_PARAMETERS angstrom
1.0896 2.7127 4.4587
-3.6943 0.4478 3.8180
0.6102 -2.5949 4.6174
ATOMIC_POSITIONS angstrom
I -0.4986 0.1414 3.2235
I -1.4959 0.4242 9.6706
Tl -0.9973 0.2828 6.4470
Nb 0.0000 0.0000 0.0000
! N(E_F): 2.15 states/eV per cell
! Space group: Fm-3m
! Formation energy (no corrections): 0.521 eV/atom

***

! PBE-GGA FeAu3Cl9, optimized geometry; values from VASP
&SYSTEM
  ibrav = 0, nat = 26, ntyp = 3
/
ATOMIC_SPECIES
Fe 55.84 Fe.upf
Au 196.97 Au.upf
Cl 35.45 Cl.upf
CELL_PARAMETERS angstrom
-5.6852 -7.9559 -2.0722
-3.4154 -5.7960 7.5152
-11.1185 2.1007 -1.6689
ATOMIC_POSITIONS angstrom
Fe -12.8800 -2.1628 2.0351
Fe -7.1718 -2.4965 -1.4562
Au -15.3802 -8.2660 1.7836
Au -8.1544 -6.4759 -1.1546
Au -19.3104 -10.9925 3.4047
Au -7.4554 -2.7243 2.1538
Au -11.7545 -4.7777 -0.9061
Au -7.1288 -7.6426 3.9681
Cl -5.9163 -2.8263 0.4372
Cl -12.5847 -3.8364 3.5785
Cl -13.2357 -3.1677 0.0162
Cl -9.3268 -7.0358 4.6291
Cl -8.8792 -1.2349 -1.1438
Cl -3.5802 -3.1576 3.9758
Cl -16.0365 -5.9560 1.5963
Cl -10.4333 -6.4367 -1.9333
Cl -11.1320 -10.2398 5.0658
Cl -11.0749 -0.8218 1.8984
Cl -14.0014 -7.7030 3.5683
Cl -8.5984 -8.4636 -0.0343
Cl -6.9159 -5.5229 3.0072
Cl -13.3720 -5.2193 -2.5342
Cl -10.1575 -4.4081 0.7602
Cl -7.2926 -9.7372 4.9926
Cl -5.8501 -6.6218 -0.5167
Cl -8.8999 -2.5680 3.9435
! N(E_F): 7.10 states/eV per cell
! Space group: Cc
! Formation energy (no corrections): -0.358 eV/atom

***

! PBE-GGA SrZn6Ga2, optimized geometry; values from VASP
&SYSTEM
  ibrav = 0, nat = 9, ntyp = 3
/
ATOMIC_SPECIES
Sr 87.62 Sr.upf
Zn 65.41 Zn.upf
Ga 69.72 Ga.upf
CELL_PARAMETERS angstrom
4.2118 0.0000 0.0000
0.0000 4.2118 0.0000
0.0000 0.0000 9.1995
ATOMIC_POSITIONS angstrom
Sr 0.0000 0.0000 0.0000
Zn 0.0000 2.1059 2.8343
Zn 2.1059 0.0000 2.8343
Zn 0.0000 2.1059 6.3652
Zn 2.1059 0.0000 6.3652
Zn 2.1059 2.1059 4.5997
Zn 0.0000 0.0000 4.5997
Ga 2.1059 2.1059 1.3142
Ga 2.1059 2.1059 7.8853
! N(E_F): 3.30 states/eV per cell
! Space group: P4/mmm
! ΔH_f (0 K): -162 meV/atom

***

! PBE-GGA Pr2Ni12Ge3Pd, optimized geometry; values from VASP
&SYSTEM
  ibrav = 0, nat = 18, ntyp = 4
/
ATOMIC_SPECIES
Pr 140.91 Pr.upf
Ni 58.69 Ni.upf
Ge 72.64 Ge.upf
Pd 106.42 Pd.upf
CELL_PARAMETERS angstrom
-4.4387 -4.6328 -0.2624
4.0640 -4.5083 -2.0959
1.2955 -2.3060 5.8513
ATOMIC_POSITIONS angstrom
Pr 0.6202 -7.7101 2.3527
Pr 0.3006 -3.7370 1.1403
Ni 0.9975 -5.6444 4.2426
Ni 0.0791 -8.0575 -0.1802
Ni 3.0186 -6.8647 2.9539
Ni -1.8099 -6.7835 1.2494
Ni -1.3401 -6.9285 3.8938
Ni 2.3529 -6.7226 0.3517
Ni -0.0767 -5.8027 -0.7496
Ni 0.8417 -3.3896 3.6732
Ni -2.0979 -4.5824 0.5391
Ni 2.7307 -4.6635 2.2436
Ni 2.2609 -4.5186 -0.4008
Ni -1.4321 -4.7245 3.1413
Ge -2.2193 -2.3164 -0.1312
Ge 2.0320 -2.2542 -1.0479
Ge 0.6478 -1.1530 2.9257
Pd 0.0000 0.0000 0.0000
! N(E_F): 17.40 states/eV per cell
! Space group: R-3m
! ΔH_f (0 K): 12 meV/atom

***

! PBE-GGA La3Nd2Th, optimized geometry; values from VASP
&SYSTEM
  ibrav = 0, nat = 6, ntyp = 3
/
ATOMIC_SPECIES
La 138.91 La.upf
Nd 144.24 Nd.upf
Th 232.04 Th.upf
CELL_PARAMETERS angstrom
-2.5126 -2.6019 0.5510
-0.3341 -0.4433 -3.6164
11.4208 -10.9673 0.2892
ATOMIC_POSITIONS angstrom
La 0.0000 0.0000 0.0000
La 7.4821 -7.1850 0.1894
La 3.9387 -3.7823 0.0997
Nd 8.1100 -10.6774 -1.2913
Nd 0.4641 -3.3351 -1.4849
Th 4.2871 -7.0062 -1.3881
! N(E_F): 10.17 states/eV per cell
! Space group: P4/mmm
! ΔH_f (0 K): 22 meV/atom

***

! PBE-GGA Li4Sc3TaS8, optimized geometry; values from VASP
&SYSTEM
  ibrav = 0, nat = 16, ntyp = 4
/
ATOMIC_SPECIES
Li 6.94 Li.upf
Sc 44.96 Sc.upf
Ta 180.95 Ta.upf
S 32.06 S.upf
CELL_PARAMETERS angstrom
-4.2186 -1.5934 5.6755
0.5144 -7.2206 -1.6449
6.0645 3.8532 0.9602
ATOMIC_POSITIONS angstrom
Li -2.1093 -0.7967 2.8378
Li 0.9230 1.1299 3.3179
Li 0.0000 0.0000 0.0000
Li 3.0322 1.9266 0.4801
Sc -1.8521 -4.4070 2.0153
Sc 1.1802 -2.4804 2.4954
Sc 3.2894 -1.6837 -0.3423
Ta 0.2572 -3.6103 -0.8224
S 5.4151 -1.8977 1.1190
S 2.3062 -3.8730 0.6268
S 2.1234 -0.3057 1.4924
S 3.2524 -2.7146 4.0285
S -0.8921 -2.2463 0.9623
S 0.2370 -4.6551 3.4984
S 0.0542 -1.0878 4.3641
S -3.0547 -3.0632 3.8719
! N(E_F): 5.33 states/eV per cell
! Space group: R-3m
! Formation energy (no corrections): -1.570 eV/atom